(1)
Here is an optimized crystal structure of LiTbHgTe3 from OQMD. Energies are from PBE.

POSCAR file:
```
LiTbHgTe3
1.0
7.385 -2.157 0.000
7.385 2.157 0.000
0.000 0.000 11.547
Hg Li Tb Te
2 2 2 6
Direct
0.478 0.478 0.250
0.522 0.522 0.750
0.806 0.806 0.250
0.194 0.194 0.750
0.000 0.000 0.000
0.000 0.000 0.500
0.355 0.355 0.061
0.104 0.104 0.250
0.355 0.355 0.439
0.645 0.645 0.561
0.896 0.896 0.750
0.645 0.645 0.939
```

- Offset from the most stable computed form: 0.0000 eV per atom
- Electronic total energy: -3.53 eV per atom
- Calculated volume: 30.66 Å³ per atom
- Magnetization: 0.0 μB per formula unit


(2)
Here is an optimized crystal structure of Y3HoPb2C2 from OQMD. Energies are from PBE.

POSCAR file:
```
Y3HoPb2C2
1.0
3.645 0.000 0.000
-1.822 3.156 0.000
0.000 0.000 16.074
C Ho Pb Y
2 1 2 3
Direct
0.667 0.333 0.001
0.667 0.333 0.500
0.000 0.000 0.082
0.333 0.667 0.250
0.000 0.000 0.750
0.000 0.000 0.417
0.333 0.667 0.583
0.333 0.667 0.917
```

- Electronic total energy: -6.74 eV per atom
- Calculated volume: 23.12 Å³ per atom
- Magnetization: 0.1 μB per formula unit


(3)
Here is an optimized crystal structure of ErTmSe2Cl2 from OQMD. Energies are from PBE.

POSCAR file:
```
ErTmSe2Cl2
1.0
-3.598 -1.422 -0.993
2.362 -3.264 -3.883
0.839 -6.007 5.559
Cl Er Se Tm
2 1 2 1
Direct
0.000 0.000 0.349
0.500 0.500 0.649
0.000 0.500 0.859
0.500 0.500 0.107
0.000 0.000 0.895
0.500 0.000 0.141
```

- Electronic total energy: -5.34 eV per atom
- Calculated volume: 30.65 Å³ per atom
- Magnetization: 0.0 μB per formula unit